Below is crystalline La8Pd3SBr4 at its relaxed geometry, with properties calculated at the PBE-GGA level. Values from VASP.

Quantum ESPRESSO input file:
```
&SYSTEM
  ibrav = 0, nat = 16, ntyp = 4
/
ATOMIC_SPECIES
Br 79.90 Br.upf
La 138.91 La.upf
Pd 106.42 Pd.upf
S 32.06 S.upf
ATOMIC_POSITIONS crystal
Br 0.0000 0.0000 0.5000
Br 0.0000 0.0000 0.0000
Br 0.5000 0.0000 0.0000
Br 0.5000 0.0000 0.5000
La 0.7467 0.7187 0.9828
La 0.7639 0.2813 0.0172
La 0.7640 0.2813 0.5280
La 0.2361 0.7187 0.9828
La 0.7349 0.7043 0.4697
La 0.2360 0.7187 0.4720
La 0.2533 0.2813 0.0172
La 0.2651 0.2957 0.5303
Pd 0.5000 0.5000 0.0000
Pd 0.0000 0.5000 0.5000
Pd 0.5000 0.5000 0.5000
S 0.0000 0.5000 0.0000
CELL_PARAMETERS angstrom
8.4961 0.0000 0.0000
0.0000 9.0134 0.3592
-4.2480 -4.2461 6.0111
```

Output
- DOS(E_F) (states/eV/atom) = 0.914
- formation energy from raw total energies (eV per atom) = -1.22